Entry 1:
Compound: Ba2CaUSe6
Source: Alexandria
Functional: PBE
Structure: relaxed

Calculated values
* uncorrected formation energy: -1.63 eV/atom
* E_tot: -5.434 eV/atom
* SG: P2_1/c, No. 14

The structure in POSCAR format:
```
Ba2CaUSe6
1.0
-3.750 6.107 1.976
-6.255 -2.490 -4.177
-3.794 -5.105 8.724
Ba Ca U Se
4 2 2 12
direct
0.024 0.923 0.251 Ba
0.524 0.577 0.751 Ba
0.976 0.077 0.749 Ba
0.476 0.423 0.249 Ba
0.500 0.000 0.000 Ca
0.000 0.500 0.500 Ca
0.500 0.000 0.500 U
0.000 0.500 0.000 U
0.295 0.687 0.046 Se
0.795 0.813 0.546 Se
0.705 0.313 0.954 Se
0.205 0.187 0.454 Se
0.317 0.711 0.451 Se
0.817 0.789 0.951 Se
0.683 0.289 0.549 Se
0.183 0.211 0.049 Se
0.908 0.520 0.240 Se
0.408 0.980 0.740 Se
0.092 0.480 0.760 Se
0.592 0.020 0.260 Se
```


Entry 2:
Compound: Sm6Ge3C
Source: Alexandria
Functional: PBE
Structure: relaxed

Calculated values
* formation enthalpy at 0 K: -468 kJ/mol of formula units
* E_tot: -5.624 eV/atom
* SG: R-3, No. 148

The structure in POSCAR format:
```
Sm6Ge3C
1.0
8.304 -0.407 -0.416
-0.587 8.293 -0.416
-0.587 -0.600 8.282
Sm Ge C
12 6 2
direct
0.302 0.958 0.076 Sm
0.042 0.924 0.698 Sm
0.570 0.793 0.444 Sm
0.924 0.698 0.042 Sm
0.444 0.570 0.793 Sm
0.207 0.556 0.430 Sm
0.793 0.444 0.570 Sm
0.556 0.430 0.207 Sm
0.076 0.302 0.958 Sm
0.430 0.207 0.556 Sm
0.958 0.076 0.302 Sm
0.698 0.042 0.924 Sm
0.392 0.894 0.720 Ge
0.894 0.720 0.392 Ge
0.280 0.608 0.106 Ge
0.720 0.392 0.894 Ge
0.106 0.280 0.608 Ge
0.608 0.106 0.280 Ge
0.000 0.000 0.000 C
0.500 0.500 0.500 C
```